Entry 1:
Computed, not measured: TaAgIr2 after structural relaxation at the PBE level of DFT.

Summary:
**Total magnetization**: 0.0 Bohr magnetons per cell
**Energy of formation from the pure elements**: -0.02 eV/atom

Cell lengths 5.0583, 5.0583, 4.8383 Å; angles 78.45, 78.45, 32.31 degrees
Sites, in units of the cell vectors:
Ir1 0.0175 0.0175 0.0124
Ir2 0.7330 0.7330 0.7319
Ag1 0.2612 0.2612 0.2255
Ta1 0.4883 0.4883 0.5302

***

Entry 2:
Computed, not measured: TaTl2AgIr after structural relaxation at the PBE level of DFT.

Summary:
**Total magnetization**: 0.0 Bohr magnetons per cell
**Energy of formation from the pure elements**: 1.06 eV/atom

Cell lengths 5.5438, 4.7371, 5.5438 Å; angles 90.00, 90.00, 90.00 degrees
Sites, in units of the cell vectors:
Tl1 0.0000 0.0000 0.5000
Tl2 0.5000 0.0000 0.0000
Ir1 0.0000 0.5000 0.0000
Ag1 0.5000 0.5000 0.5000
Ta1 0.0000 0.0000 0.0000

***

Entry 3:
Computed, not measured: Tb3AgIr after structural relaxation at the PBE level of DFT.

Summary:
**Total magnetization**: 0.0 Bohr magnetons per cell
**Energy of formation from the pure elements**: -0.49 eV/atom

Cell lengths 5.8610, 5.8610, 9.3662 Å; angles 63.67, 63.67, 65.96 degrees
Sites, in units of the cell vectors:
Tb1 0.3053 0.3053 0.8896
Tb2 0.6947 0.6947 0.1104
Tb3 0.0789 0.0789 0.7130
Tb4 0.9211 0.9211 0.2870
Tb5 0.7086 0.7086 0.7164
Tb6 0.2914 0.2914 0.2836
Ag1 0.7103 0.2897 0.5000
Ag2 0.2897 0.7103 0.5000
Ir1 0.2490 0.7510 0.0000
Ir2 0.7510 0.2490 0.0000

***

Entry 4:
Computed, not measured: Tb6Ag5Ir after structural relaxation at the PBE level of DFT.

Summary:
**Total magnetization**: 0.0 Bohr magnetons per cell
**Energy of formation from the pure elements**: -0.42 eV/atom

Cell lengths 5.0886, 7.2738, 8.0731 Å; angles 90.00, 71.63, 90.00 degrees
Sites, in units of the cell vectors:
Ir1 0.0000 0.0000 0.0000
Tb1 0.8421 0.7573 0.3157
Tb2 0.8421 0.2427 0.3157
Tb3 0.5000 0.2337 0.0000
Tb4 0.5000 0.7663 0.0000
Tb5 0.1579 0.7573 0.6843
Tb6 0.1579 0.2427 0.6843
Ag1 0.6668 0.5000 0.6664
Ag2 0.3224 0.0000 0.3553
Ag3 0.0000 0.5000 0.0000
Ag4 0.6776 0.0000 0.6447
Ag5 0.3332 0.5000 0.3336

***

Which value of energy of formation from the pure elements does entry 3 give? -0.49 eV/atom

***

Which value of energy of formation from the pure elements does entry 3 give? -0.49 eV/atom

***

Which value of total magnetization does entry 2 give? 0.0 Bohr magnetons per cell